[1]
The following is a DFT calculation (PBE) of a relaxed CoReAg crystal.

Cell: 6.121 6.121 6.121 Å, 154.25 154.25 36.74°
Each line ends with the local moment (μB).
Sites, in units of the cell vectors:
Re (0.687, 0.687, 0.000)  -0.02
Ag (0.994, 0.994, 0.000)  0.00
Co (0.319, 0.319, 0.000)  0.37

Computed properties:
The symmetry is No. 107. The energy above the lowest structure with this stoichiometry comes out at 0.02 eV/f.u.


[2]
The following is a DFT calculation (PBE) of a relaxed LaY2N3 crystal.

Cell: 6.187 6.187 6.192 Å, 99.57 99.57 120.02°
Sites, in units of the cell vectors:
Y (0.497, 0.503, 0.500)
N (0.571, 0.904, 0.741)
N (0.247, 0.257, 0.741)
N (0.743, 0.753, 0.259)
N (0.096, 0.429, 0.259)
Y (0.169, 0.831, 0.500)
Y (0.333, 0.667, 0.000)
N (0.420, 0.076, 0.259)
La (0.666, 0.334, 0.000)
La (0.000, 0.000, 0.000)
Y (0.833, 0.167, 0.500)
N (0.924, 0.580, 0.741)

Computed properties:
The calculation puts the uncorrected formation energy at -1.53 eV per atom. The symmetry is No. 12.


[3]
The following is a DFT calculation (PBE) of a relaxed Th4Sb2TeOs crystal.

Cell: 4.318 7.786 7.767 Å, 108.43 90.00 90.00°
Sites, in units of the cell vectors:
Th (0.500, 0.269, 0.237)
Th (0.000, 0.710, 0.212)
Te (0.000, 0.000, 0.000)
Th (0.500, 0.731, 0.763)
Sb (0.500, 0.000, 0.500)
Th (0.000, 0.290, 0.788)
Sb (0.000, 0.500, 0.500)
Os (0.500, 0.500, 0.000)

Computed properties:
The calculation puts the uncorrected formation energy at -0.80 eV per atom. The symmetry is No. 10.


[4]
The following is a DFT calculation (PBE) of a relaxed MgZrAs crystal.

Cell: 4.383 4.383 3.555 Å, 90.00 90.00 120.00°
Sites, in units of the cell vectors:
As (0.000, 0.000, 0.167)
Zr (0.667, 0.333, 0.667)
Mg (0.333, 0.667, 0.167)

Computed properties:
The symmetry is No. 187. The value obtained for the raw total energy is -15.514 eV per formula unit.


[5]
The following is a DFT calculation (PBE) of a relaxed TlP3H12 crystal.

Cell: 9.023 9.023 8.323 Å, 57.18 57.18 60.00°
Sites, in units of the cell vectors:
H (0.038, 0.671, 0.678)
H (0.531, 0.827, 0.484)
H (0.957, 0.347, 0.564)
P (0.655, 0.188, 0.486)
P (0.671, 0.655, 0.486)
H (0.237, 0.317, 0.867)
H (0.538, 0.114, 0.178)
H (0.079, 0.817, 0.367)
H (0.317, 0.579, 0.867)
H (0.158, 0.531, 0.484)
H (0.827, 0.158, 0.484)
H (0.031, 0.658, 0.984)
H (0.131, 0.957, 0.564)
H (0.327, 0.031, 0.984)
H (0.631, 0.847, 0.064)
H (0.614, 0.038, 0.678)
Tl (0.141, 0.141, 0.577)
H (0.347, 0.131, 0.564)
H (0.847, 0.457, 0.064)
H (0.171, 0.538, 0.178)
P (0.155, 0.171, 0.986)
H (0.737, 0.079, 0.367)
H (0.114, 0.171, 0.178)
H (0.579, 0.237, 0.867)
H (0.671, 0.614, 0.678)
H (0.817, 0.737, 0.367)
H (0.457, 0.631, 0.064)
P (0.171, 0.688, 0.986)
H (0.658, 0.327, 0.984)
Tl (0.641, 0.641, 0.077)
P (0.688, 0.155, 0.986)
P (0.188, 0.671, 0.486)

Computed properties:
The symmetry is No. 161. The value obtained for the raw total energy is -57.015 eV per formula unit.


[6]
The following is a DFT calculation (PBE) of a relaxed GaHg4O5 crystal.

Cell: 5.557 5.951 5.951 Å, 77.40 62.16 62.16°
Sites, in units of the cell vectors:
Ga (0.041, 0.000, 0.000)
O (0.394, 0.000, 0.000)
Hg (0.270, 0.177, 0.394)
O (0.706, 0.214, 0.301)
Hg (0.664, 0.606, 0.177)
O (0.007, 0.699, 0.214)
O (0.221, 0.786, 0.699)
Hg (0.447, 0.394, 0.823)
Hg (0.841, 0.823, 0.606)
O (0.920, 0.301, 0.786)

Computed properties:
The calculation puts the uncorrected formation energy at -0.51 eV per atom. The symmetry is No. 79.


[7]
The following is a DFT calculation (PBE) of a relaxed NdDy2AlPd4 crystal.

Cell: 4.816 4.816 8.676 Å, 73.89 73.89 60.00°
Sites, in units of the cell vectors:
Pd (0.871, 0.871, 0.386)
Dy (0.243, 0.243, 0.272)
Nd (0.000, 0.000, 0.000)
Al (0.500, 0.500, 0.500)
Pd (0.129, 0.129, 0.614)
Pd (0.394, 0.394, 0.819)
Dy (0.757, 0.757, 0.728)
Pd (0.606, 0.606, 0.181)

Computed properties:
The symmetry is No. 166. The value obtained for the raw total energy is -44.978 eV per formula unit.


[8]
The following is a DFT calculation (PBE) of a relaxed TaSbBr2 crystal.

Cell: 4.657 4.520 4.520 Å, 90.00 90.00 90.00°
Each line ends with the local moment (μB).
Sites, in units of the cell vectors:
Sb (0.500, 0.500, 0.000)  -0.07
Br (0.000, 0.000, 0.000)  -0.05
Ta (0.500, 0.000, 0.500)  1.46
Br (0.000, 0.500, 0.500)  -0.05

Computed properties:
The calculation puts the uncorrected formation energy at 0.80 eV per atom. The symmetry is No. 123. The energy above the lowest structure with this stoichiometry comes out at 4.51 eV/f.u.